Below is crystalline RbCrCl2F at its relaxed geometry, with properties calculated at the GGA+U level.

abc: 5.304 5.304 4.063
angles: 90.00 90.00 90.00
Element x y z (fractional)
Rb  0.000  0.000  0.000
Cr  0.500  0.500  0.500
Cl  0.000  0.500  0.500
Cl  0.500  0.000  0.500
F  0.500  0.500  0.000

Computed properties:
Spin magnetization in μB/cell: 4.00
Raw total energy in eV per atom: -4.72
Calculated volume in Å³/atom: 22.86